Density functional theory data (GGA-PBEsol) for a geometry-optimized Li3SmBi2 structure.

Cell lengths 4.6319, 4.6319, 7.2726 Å; angles 90.00, 90.00, 120.00 degrees
With the nearest neighbours (Å) after each atom.
Space group P-3m1 (No. 164)
Asymmetric unit:
Li1 0.0000 0.0000 0.0000 x1  6 Li 2.89, 6 Bi 3.23
Li2 0.3333 0.6667 0.8478 x2  4 Bi 2.77-2.93, 3 Li 2.89
Sm1 0.0000 0.0000 0.5000 x1  6 Bi 3.23
Bi1 0.3333 0.6667 0.2500 x2  4 Li 2.77-2.93

Properties
- uncorrected energy (eV/atom) = -3.973
- DFT formation energy (eV per atom) = -0.7126